Entry 1:
Below is a geometry-optimized DyCr3S6 structure, with properties calculated at the PBEsol level.

Cell: 10.521 10.660 12.430 Å, 90.00 90.00 90.00°
Positions (direct):
1 Dy 0.000 0.010 0.000
2 Dy 0.000 0.512 0.836
3 Dy 0.166 0.985 0.499
4 Dy 0.334 0.015 0.999
5 Dy 0.500 0.488 0.336
6 Dy 0.500 0.990 0.500
7 Dy 0.666 0.015 0.999
8 Dy 0.834 0.985 0.499
9 Cr 0.000 0.166 0.263
10 Cr 0.000 0.198 0.780
11 Cr 0.000 0.656 0.573
12 Cr 0.000 0.692 0.060
13 Cr 0.164 0.311 0.549
14 Cr 0.164 0.793 0.284
15 Cr 0.165 0.344 0.076
16 Cr 0.167 0.837 0.764
17 Cr 0.333 0.163 0.264
18 Cr 0.335 0.656 0.576
19 Cr 0.336 0.207 0.784
20 Cr 0.336 0.689 0.049
21 Cr 0.500 0.308 0.560
22 Cr 0.500 0.344 0.073
23 Cr 0.500 0.802 0.280
24 Cr 0.500 0.834 0.763
25 Cr 0.664 0.207 0.784
26 Cr 0.664 0.689 0.049
27 Cr 0.665 0.656 0.576
28 Cr 0.667 0.163 0.264
29 Cr 0.833 0.837 0.764
30 Cr 0.835 0.344 0.076
31 Cr 0.836 0.311 0.549
32 Cr 0.836 0.793 0.284
33 S 0.000 0.160 0.593
34 S 0.000 0.286 0.956
35 S 0.000 0.372 0.199
36 S 0.000 0.449 0.508
37 S 0.000 0.656 0.242
38 S 0.000 0.785 0.881
39 S 0.000 0.868 0.637
40 S 0.000 0.946 0.329
41 S 0.164 0.339 0.737
42 S 0.165 0.552 0.009
43 S 0.166 0.051 0.831
44 S 0.166 0.133 0.136
45 S 0.166 0.204 0.382
46 S 0.167 0.630 0.700
47 S 0.167 0.725 0.461
48 S 0.168 0.842 0.096
49 S 0.332 0.158 0.596
50 S 0.333 0.275 0.961
51 S 0.333 0.370 0.200
52 S 0.334 0.796 0.882
53 S 0.334 0.867 0.636
54 S 0.334 0.949 0.331
55 S 0.335 0.448 0.509
56 S 0.336 0.661 0.237
57 S 0.500 0.054 0.829
58 S 0.500 0.132 0.137
59 S 0.500 0.215 0.381
60 S 0.500 0.344 0.742
61 S 0.500 0.551 0.008
62 S 0.500 0.628 0.699
63 S 0.500 0.714 0.456
64 S 0.500 0.840 0.093
65 S 0.664 0.661 0.237
66 S 0.665 0.448 0.509
67 S 0.666 0.796 0.882
68 S 0.666 0.867 0.636
69 S 0.666 0.949 0.331
70 S 0.667 0.275 0.961
71 S 0.667 0.370 0.200
72 S 0.668 0.158 0.596
73 S 0.832 0.842 0.096
74 S 0.833 0.630 0.700
75 S 0.833 0.725 0.461
76 S 0.834 0.051 0.831
77 S 0.834 0.133 0.136
78 S 0.834 0.204 0.382
79 S 0.835 0.552 0.009
80 S 0.836 0.339 0.737

Summary:
Formation energy from raw total energies (kJ per mole of atoms): -100.5

Entry 2:
Below is a geometry-optimized HRhS2 structure, with properties calculated at the PBEsol level.

Cell: 5.890 5.890 5.890 Å, 35.29 35.29 35.29°
Positions (direct):
1 H 0.000 0.000 0.000
2 Rh 0.500 0.500 0.500
3 S 0.099 0.099 0.099
4 S 0.901 0.901 0.901

Summary:
VASP energy (eV/cell): -21.75

Entry 3:
Below is a geometry-optimized CuBrO2 structure, with properties calculated at the PBEsol level.

Cell: 3.292 3.292 6.043 Å, 102.44 102.44 54.28°
Positions (direct):
1 Cu 0.000 0.000 0.000
2 Br 0.500 0.500 0.500
3 O 0.409 0.409 0.164
4 O 0.591 0.591 0.836

Summary:
Formation energy from raw total energies (kJ per mole of atoms): -21.1

Entry 4:
Below is a geometry-optimized NaBiCl2 structure, with properties calculated at the PBEsol level.

Cell: 8.963 8.963 8.963 Å, 23.81 23.81 23.81°
Positions (direct):
1 Na 0.000 0.000 0.000
2 Bi 0.500 0.500 0.500
3 Cl 0.397 0.397 0.397
4 Cl 0.603 0.603 0.603

Summary:
Formation energy from raw total energies (kJ per mole of atoms): -107.3

Entry 5:
Below is a geometry-optimized Zr5Hg4 structure, with properties calculated at the PBEsol level.

Cell: 8.644 8.644 5.845 Å, 90.00 90.00 120.00°
Positions (direct):
1 Zr 0.000 0.307 0.250
2 Zr 0.000 0.693 0.750
3 Zr 0.307 0.000 0.250
4 Zr 0.307 0.307 0.750
5 Zr 0.333 0.667 0.000
6 Zr 0.333 0.667 0.500
7 Zr 0.667 0.333 0.000
8 Zr 0.667 0.333 0.500
9 Zr 0.693 0.000 0.750
10 Zr 0.693 0.693 0.250
11 Hg 0.000 0.000 0.000
12 Hg 0.000 0.000 0.500
13 Hg 0.000 0.363 0.750
14 Hg 0.000 0.637 0.250
15 Hg 0.363 0.000 0.750
16 Hg 0.363 0.363 0.250
17 Hg 0.637 0.000 0.250
18 Hg 0.637 0.637 0.750

Summary:
Formation enthalpy at 0 K (eV/atom): -0.24

Entry 6:
Below is a geometry-optimized K2TaSb structure, with properties calculated at the PBEsol level.

Cell: 12.262 12.262 12.262 Å, 15.81 15.81 15.81°
Positions (direct):
1 K 0.000 0.000 0.000
2 K 0.221 0.221 0.221
3 Ta 0.470 0.470 0.470
4 Sb 0.746 0.746 0.746

Summary:
Formation energy from raw total energies (kJ per mole of atoms): 56.4

Entry 7:
Below is a geometry-optimized K2NaPrBr6 structure, with properties calculated at the PBEsol level.

Cell: 8.017 8.017 8.017 Å, 60.00 60.00 60.00°
Positions (direct):
1 K 0.250 0.250 0.250
2 K 0.750 0.750 0.750
3 Na 0.000 0.000 0.000
4 Pr 0.500 0.500 0.500
5 Br 0.248 0.248 0.752
6 Br 0.248 0.752 0.248
7 Br 0.248 0.752 0.752
8 Br 0.752 0.248 0.248
9 Br 0.752 0.248 0.752
10 Br 0.752 0.752 0.248

Summary:
Formation energy from raw total energies (kJ per mole of atoms): -163.2

Entry 8:
Below is a geometry-optimized Tm2Ga8Co structure, with properties calculated at the PBEsol level.

Cell: 4.136 4.136 10.850 Å, 90.00 90.00 90.00°
Positions (direct):
1 Tm 0.000 0.000 0.193
2 Tm 0.000 0.000 0.807
3 Ga 0.000 0.500 0.000
4 Ga 0.000 0.500 0.382
5 Ga 0.000 0.500 0.618
6 Ga 0.500 0.000 0.000
7 Ga 0.500 0.000 0.382
8 Ga 0.500 0.000 0.618
9 Ga 0.500 0.500 0.194
10 Ga 0.500 0.500 0.806
11 Co 0.000 0.000 0.500

Summary:
Formation enthalpy at 0 K (eV/atom): -0.53

Entry 9:
Below is a geometry-optimized Sc3Ag structure, with properties calculated at the PBEsol level.

Cell: 5.718 5.718 5.718 Å, 116.87 116.87 116.87°
Positions (direct):
1 Sc 0.000 0.500 0.500
2 Sc 0.500 0.000 0.500
3 Sc 0.500 0.500 0.000
4 Ag 0.000 0.000 0.000

Summary:
Offset from the most stable computed form (meV per atom): 182.6
Formation enthalpy at 0 K (eV/atom): 0.03

Entry 10:
Below is a geometry-optimized Ce4YO9 structure, with properties calculated at the PBEsol level.

Cell: 10.160 10.160 10.160 Å, 158.56 38.11 148.87°
Positions (direct):
1 Ce 0.105 0.000 0.105
2 Ce 0.308 0.007 0.301
3 Ce 0.706 0.007 0.699
4 Ce 0.895 0.000 0.895
5 Y 0.560 0.060 0.500
6 O 0.057 0.254 0.803
7 O 0.176 0.759 0.417
8 O 0.343 0.759 0.583
9 O 0.451 0.254 0.197
10 O 0.555 0.756 0.798
11 O 0.660 0.263 0.396
12 O 0.767 0.767 0.000
13 O 0.867 0.263 0.604
14 O 0.958 0.756 0.202

Summary:
Formation energy from raw total energies (kJ per mole of atoms): -335.7

Entry 11:
Below is a geometry-optimized LiCa structure, with properties calculated at the PBEsol level.

Cell: 6.773 6.773 7.730 Å, 106.61 106.61 33.27°
Positions (direct):
1 Li 0.000 0.000 0.000
2 Li 0.010 0.010 0.432
3 Li 0.369 0.369 0.147
4 Ca 0.382 0.382 0.653
5 Ca 0.677 0.677 0.807
6 Ca 0.683 0.683 0.292

Summary:
Offset from the most stable computed form (meV per atom): 25.9
Formation enthalpy at 0 K (eV/atom): 0.04

Entry 12:
Below is a geometry-optimized Cu2IrAu structure, with properties calculated at the PBEsol level.

Cell: 2.863 4.265 4.503 Å, 90.00 90.00 90.00°
Positions (direct):
1 Cu 0.000 0.000 0.000
2 Cu 0.500 0.000 0.500
3 Ir 0.000 0.500 0.500
4 Au 0.500 0.500 0.000

Summary:
Formation enthalpy at 0 K (eV/atom): 0.22

Entry 13:
Below is a geometry-optimized NbFePb2O6 structure, with properties calculated at the PBEsol level.

Cell: 3.976 3.976 7.918 Å, 90.00 90.00 90.00°
Positions (direct):
1 Nb 0.000 0.000 0.000
2 Fe 0.000 0.000 0.500
3 Pb 0.500 0.500 0.283
4 Pb 0.500 0.500 0.717
5 O 0.000 0.000 0.252
6 O 0.000 0.000 0.748
7 O 0.000 0.500 0.000
8 O 0.000 0.500 0.500
9 O 0.500 0.000 0.000
10 O 0.500 0.000 0.500

Summary:
Offset from the most stable computed form (meV per atom): 0.0
Formation energy from raw total energies (kJ per mole of atoms): -159.2

Entry 14:
Below is a geometry-optimized Zr3Ni structure, with properties calculated at the PBEsol level.

Cell: 3.272 3.272 8.622 Å, 90.00 90.00 120.00°
Positions (direct):
1 Zr 0.000 0.000 0.000
2 Zr 0.667 0.333 0.292
3 Zr 0.667 0.333 0.708
4 Ni 0.000 0.000 0.500

Summary:
Formation enthalpy at 0 K (eV/atom): -0.01

Entry 15:
Below is a geometry-optimized Li2FeSi structure, with properties calculated at the PBEsol level.

Cell: 2.483 2.483 8.653 Å, 90.00 90.00 106.57°
Positions (direct):
1 Li 0.000 0.000 0.247
2 Li 0.000 0.000 0.753
3 Fe 0.500 0.500 0.500
4 Si 0.500 0.500 0.000

Summary:
Formation energy from raw total energies (kJ per mole of atoms): 13.8

Entry 16:
Below is a geometry-optimized TlCoTc2 structure, with properties calculated at the PBEsol level.

Cell: 2.956 2.956 6.878 Å, 90.00 90.00 90.00°
Positions (direct):
1 Tl 0.000 0.000 0.000
2 Co 0.500 0.500 0.261
3 Tc 0.000 0.000 0.478
4 Tc 0.500 0.500 0.690

Summary:
Offset from the most stable computed form (meV per atom): 0.0
Formation enthalpy at 0 K (eV/atom): 0.39

Entry 17:
Below is a geometry-optimized NiRh2Au structure, with properties calculated at the PBEsol level.

Cell: 2.718 3.683 5.460 Å, 90.00 90.00 90.00°
Positions (direct):
1 Ni 0.000 0.000 0.000
2 Rh 0.500 0.500 0.230
3 Rh 0.500 0.500 0.770
4 Au 0.000 0.000 0.500

Summary:
Offset from the most stable computed form (meV per atom): 97.5
Formation enthalpy at 0 K (eV/atom): 0.19

Entry 18:
Below is a geometry-optimized ZrZnHI2 structure, with properties calculated at the PBEsol level.

Cell: 5.351 5.351 5.192 Å, 90.00 90.00 90.00°
Positions (direct):
1 Zr 0.000 0.000 0.000
2 Zn 0.000 0.000 0.500
3 H 0.500 0.500 0.000
4 I 0.000 0.500 0.500
5 I 0.500 0.000 0.500

Summary:
VASP energy (eV/cell): -12.71

Entry 19:
Below is a geometry-optimized CaRu2Au structure, with properties calculated at the PBEsol level.

Cell: 5.108 5.108 2.668 Å, 90.00 90.00 112.58°
Positions (direct):
1 Ca 0.000 0.000 0.000
2 Ru 0.000 0.500 0.500
3 Ru 0.500 0.000 0.500
4 Au 0.500 0.500 0.000

Summary:
Offset from the most stable computed form (meV per atom): 329.0
Formation enthalpy at 0 K (eV/atom): 0.45

Entry 20:
Below is a geometry-optimized CrO2 structure, with properties calculated at the PBEsol level.

Cell: 6.915 6.915 4.536 Å, 92.19 92.19 24.07°
Positions (direct):
1 Cr 0.000 0.000 0.000
2 Cr 0.344 0.344 0.478
3 Cr 0.656 0.656 0.522
4 O 0.097 0.097 0.311
5 O 0.227 0.227 0.703
6 O 0.436 0.436 0.186
7 O 0.564 0.564 0.814
8 O 0.773 0.773 0.297
9 O 0.903 0.903 0.689

Summary:
Formation energy from raw total energies (kJ per mole of atoms): -180.8